P.
Computed, not measured: a relaxed TbCeZnHg crystal at the PBE-GGA level of DFT. Values from VASP.

Geometry as Quantum ESPRESSO input:
```
&SYSTEM
  ibrav = 0, nat = 4, ntyp = 4
/
ATOMIC_SPECIES
Tb 158.93 Tb.upf
Ce 140.12 Ce.upf
Zn 65.41 Zn.upf
Hg 200.59 Hg.upf
ATOMIC_POSITIONS crystal
Tb 0.0000 0.0000 0.0000
Ce 0.0000 0.0000 0.5343
Zn 0.5000 0.5000 0.7790
Hg 0.5000 0.5000 0.2508
CELL_PARAMETERS angstrom
3.6218 0.0000 0.0000
0.0000 3.6218 0.0000
0.0000 0.0000 7.6725
```

Output
Fermi-level density of states, states/eV/f.u.: 9.138
Density, Mg/m³: 9.3

=====

Q.
Computed, not measured: a relaxed TbCeZnHg crystal at the PBE-GGA level of DFT. Values from VASP.

Geometry as Quantum ESPRESSO input:
```
&SYSTEM
  ibrav = 0, nat = 16, ntyp = 4
/
ATOMIC_SPECIES
Tb 158.93 Tb.upf
Ce 140.12 Ce.upf
Zn 65.41 Zn.upf
Hg 200.59 Hg.upf
ATOMIC_POSITIONS crystal
Tb 0.0000 0.0000 0.0000
Tb 0.0000 0.5000 0.5000
Tb 0.5000 0.0000 0.5000
Tb 0.5000 0.5000 0.0000
Ce 0.0000 0.0000 0.5000
Ce 0.0000 0.5000 0.0000
Ce 0.5000 0.0000 0.0000
Ce 0.5000 0.5000 0.5000
Zn 0.2500 0.2500 0.2500
Zn 0.2500 0.7500 0.7500
Zn 0.7500 0.2500 0.7500
Zn 0.7500 0.7500 0.2500
Hg 0.2500 0.2500 0.7500
Hg 0.2500 0.7500 0.2500
Hg 0.7500 0.2500 0.2500
Hg 0.7500 0.7500 0.7500
CELL_PARAMETERS angstrom
7.4217 0.0000 0.0000
0.0000 7.4217 0.0000
0.0000 0.0000 7.4217
```

Output
Fermi-level density of states, states/eV/f.u.: 10.069
Density, Mg/m³: 9.2

=====

What are the relative energies? In eV/atom: P 0.000; Q 0.027.

=====

P.
Computed, not measured: a relaxed Ce3TcHg crystal at the PBE-GGA level of DFT. Values from VASP.

Geometry as Quantum ESPRESSO input:
```
&SYSTEM
  ibrav = 0, nat = 10, ntyp = 3
/
ATOMIC_SPECIES
Ce 140.12 Ce.upf
Tc 98.00 Tc.upf
Hg 200.59 Hg.upf
ATOMIC_POSITIONS crystal
Ce 0.2367 0.2536 0.4468
Ce 0.2401 0.5389 0.8736
Ce 0.2501 0.1089 0.0195
Ce 0.7499 0.8911 0.9805
Ce 0.7599 0.4611 0.1264
Ce 0.7633 0.7464 0.5532
Tc 0.1990 0.8269 0.6724
Tc 0.8010 0.1731 0.3276
Hg 0.2615 0.7431 0.2836
Hg 0.7385 0.2569 0.7164
CELL_PARAMETERS angstrom
5.1372 0.0000 0.0000
-0.0257 6.2577 0.0000
-0.1593 -0.5875 7.6506
```

Output
Fermi-level density of states, states/eV/f.u.: 10.443
Density, Mg/m³: 9.7

=====

Q.
Computed, not measured: a relaxed Ce3TcHg crystal at the PBE-GGA level of DFT. Values from VASP.

Geometry as Quantum ESPRESSO input:
```
&SYSTEM
  ibrav = 0, nat = 5, ntyp = 3
/
ATOMIC_SPECIES
Ce 140.12 Ce.upf
Tc 98.00 Tc.upf
Hg 200.59 Hg.upf
ATOMIC_POSITIONS crystal
Ce 0.0000 0.0000 0.5000
Ce 0.0000 0.5000 0.0000
Ce 0.5000 0.0000 0.0000
Tc 0.0000 0.0000 0.0000
Hg 0.5000 0.5000 0.5000
CELL_PARAMETERS angstrom
5.2921 0.0000 0.0000
0.0000 5.2921 0.0000
0.0000 0.0000 5.2921
```

Output
Fermi-level density of states, states/eV/f.u.: 17.136
Density, Mg/m³: 8.1

=====

R.
Computed, not measured: a relaxed Ce3TcHg crystal at the PBE-GGA level of DFT. Values from VASP.

Geometry as Quantum ESPRESSO input:
```
&SYSTEM
  ibrav = 0, nat = 10, ntyp = 3
/
ATOMIC_SPECIES
Ce 140.12 Ce.upf
Tc 98.00 Tc.upf
Hg 200.59 Hg.upf
ATOMIC_POSITIONS crystal
Ce 0.1142 0.2651 0.2585
Ce 0.1279 0.2412 0.6228
Ce 0.3536 0.7486 0.0608
Ce 0.6464 0.2514 0.9392
Ce 0.8721 0.7588 0.3772
Ce 0.8858 0.7349 0.7415
Tc 0.1352 0.1740 0.9243
Tc 0.8648 0.8260 0.0757
Hg 0.4121 0.8118 0.5836
Hg 0.5879 0.1882 0.4164
CELL_PARAMETERS angstrom
5.4409 0.0000 0.0000
-2.3596 5.5712 0.0000
-0.4338 -3.3470 8.6712
```

Output
Fermi-level density of states, states/eV/f.u.: 11.632
Density, Mg/m³: 9.1

=====

What are the relative energies? In eV/atom: P 0.048; Q 0.119; R 0.000.

=====

P.
Computed, not measured: a relaxed Ce2HgTe crystal at the PBE-GGA level of DFT. Values from VASP.

Geometry as Quantum ESPRESSO input:
```
&SYSTEM
  ibrav = 0, nat = 4, ntyp = 3
/
ATOMIC_SPECIES
Ce 140.12 Ce.upf
Hg 200.59 Hg.upf
Te 127.60 Te.upf
ATOMIC_POSITIONS crystal
Ce 0.0000 0.0000 0.2422
Ce 0.0000 0.0000 0.7578
Hg 0.5000 0.5000 0.5000
Te 0.5000 0.5000 0.0000
CELL_PARAMETERS angstrom
3.8002 0.0000 0.0000
0.0000 3.8002 0.0000
0.0000 0.0000 7.8831
```

Output
Fermi-level density of states, states/eV/f.u.: 13.972
Density, Mg/m³: 8.9

=====

Q.
Computed, not measured: a relaxed Ce2HgTe crystal at the PBE-GGA level of DFT. Values from VASP.

Geometry as Quantum ESPRESSO input:
```
&SYSTEM
  ibrav = 0, nat = 12, ntyp = 3
/
ATOMIC_SPECIES
Ce 140.12 Ce.upf
Hg 200.59 Hg.upf
Te 127.60 Te.upf
ATOMIC_POSITIONS crystal
Ce 0.0000 0.0000 0.0000
Ce 0.0000 0.0000 0.1732
Ce 0.3333 0.6667 0.6667
Ce 0.3333 0.6667 0.8399
Ce 0.6667 0.3333 0.3333
Ce 0.6667 0.3333 0.5066
Hg 0.0000 0.0000 0.4192
Hg 0.3333 0.6667 0.0858
Hg 0.6667 0.3333 0.7525
Te 0.0000 0.0000 0.5870
Te 0.3333 0.6667 0.2536
Te 0.6667 0.3333 0.9203
CELL_PARAMETERS angstrom
4.1612 0.0000 0.0000
-2.0806 3.6037 0.0000
0.0000 0.0000 25.3891
```

Output
Fermi-level density of states, states/eV/f.u.: 14.822
Density, Mg/m³: 8.0

=====

R.
Computed, not measured: a relaxed Ce2HgTe crystal at the PBE-GGA level of DFT. Values from VASP.

Geometry as Quantum ESPRESSO input:
```
&SYSTEM
  ibrav = 0, nat = 16, ntyp = 3
/
ATOMIC_SPECIES
Ce 140.12 Ce.upf
Hg 200.59 Hg.upf
Te 127.60 Te.upf
ATOMIC_POSITIONS crystal
Ce 0.2500 0.2500 0.2500
Ce 0.2500 0.2500 0.7500
Ce 0.2500 0.7500 0.2500
Ce 0.2500 0.7500 0.7500
Ce 0.7500 0.2500 0.2500
Ce 0.7500 0.2500 0.7500
Ce 0.7500 0.7500 0.2500
Ce 0.7500 0.7500 0.7500
Hg 0.0000 0.0000 0.0000
Hg 0.0000 0.5000 0.5000
Hg 0.5000 0.0000 0.5000
Hg 0.5000 0.5000 0.0000
Te 0.0000 0.0000 0.5000
Te 0.0000 0.5000 0.0000
Te 0.5000 0.0000 0.0000
Te 0.5000 0.5000 0.5000
CELL_PARAMETERS angstrom
7.6659 0.0000 0.0000
0.0000 7.6659 0.0000
0.0000 0.0000 7.6659
```

Output
Fermi-level density of states, states/eV/f.u.: 14.534
Density, Mg/m³: 9.0

=====

What are the relative energies? In eV/atom: P 0.000; Q 0.042; R 0.067.